Record 1
Below is Li2CuOs at its PBEsol-relaxed geometry, with properties calculated at the SCAN level.

## Properties
- Space-group type: No. 119
- Energy of formation: 0.47 eV per atom
- Size of the total moment: 0.221 μB per atom
- Calculated total energy: -22.493 eV per atom
- DOS(E_F): 3.5 states/eV/f.u.

a b c (Å): 3.652 3.652 4.447
angles (deg): 114.25 114.25 90.00
Each line ends with the local moment (μB).
Element x y z (fractional)
Os 0.500 0.500 0.000  0.65
Li 0.750 0.250 0.500  0.00
Li 0.000 0.000 0.000  -0.01
Cu 0.250 0.750 0.500  0.17



Record 2
Below is Li2CuOs at its PBEsol-relaxed geometry, with properties calculated at the SCAN level.

## Properties
- Space-group type: No. 216
- Energy of formation: 0.47 eV per atom
- Size of the total moment: 0.438 μB per atom
- Calculated total energy: -22.495 eV per atom
- DOS(E_F): 4.3 states/eV/f.u.

a b c (Å): 4.135 4.135 4.135
angles (deg): 60.00 60.00 60.00
Each line ends with the local moment (μB).
Element x y z (fractional)
Li 0.000 0.000 0.000  0.01
Li 0.250 0.250 0.250  -0.02
Cu 0.500 0.500 0.500  0.27
Os 0.750 0.750 0.750  1.35



Record 3
Below is LiCu2SiOs at its PBEsol-relaxed geometry, with properties calculated at the SCAN level.

## Properties
- Space-group type: No. 123
- Formation energy without anion corrections: 0.93 eV/atom
- Size of the total moment: 0.000 μB per atom
- Calculated total energy: -22.003 eV per atom
- DOS(E_F): 2.6 states/eV/f.u.

a b c (Å): 3.830 3.830 4.230
angles (deg): 90.00 90.00 90.00
Element x y z (fractional)
Os 0.000 0.000 0.500
Si 0.500 0.500 0.500
Cu 0.500 0.000 0.000
Cu 0.000 0.500 0.000
Li 0.000 0.000 0.000



Record 4
Below is LiCu2P2 at its PBEsol-relaxed geometry, with properties calculated at the SCAN level.

## Properties
- Space-group type: No. 139
- Energy of formation: -0.37 eV per atom
- Size of the total moment: 0.000 μB per atom
- Calculated total energy: -11.087 eV per atom
- DOS(E_F): 1.0 states/eV/f.u.

a b c (Å): 3.827 3.827 5.457
angles (deg): 110.53 110.53 90.00
Element x y z (fractional)
P 0.387 0.387 0.774
P 0.613 0.613 0.226
Li 0.000 0.000 0.000
Cu 0.250 0.750 0.500
Cu 0.750 0.250 0.500



Record 5
Below is Li2CuP2 at its PBEsol-relaxed geometry, with properties calculated at the SCAN level.

## Properties
- Space-group type: No. 127
- Energy of formation: -0.50 eV per atom
- Size of the total moment: 0.000 μB per atom
- Calculated total energy: -8.659 eV per atom
- DOS(E_F): 1.1 states/eV/f.u.

a b c (Å): 3.998 5.923 5.923
angles (deg): 90.00 90.00 90.00
Element x y z (fractional)
Cu 0.000 0.000 0.000
Cu 0.000 0.500 0.500
Li 0.500 0.672 0.828
Li 0.500 0.828 0.328
Li 0.500 0.328 0.172
Li 0.500 0.172 0.672
P 0.000 0.869 0.631
P 0.000 0.631 0.131
P 0.000 0.131 0.369
P 0.000 0.369 0.869



Record 6
Below is Li3CuP at its PBEsol-relaxed geometry, with properties calculated at the SCAN level.

## Properties
- Space-group type: No. 221
- Energy of formation: 0.02 eV per atom
- Size of the total moment: 0.000 μB per atom
- Calculated total energy: -6.533 eV per atom
- DOS(E_F): 1.4 states/eV/f.u.

a b c (Å): 4.546 4.546 4.546
angles (deg): 90.00 90.00 90.00
Element x y z (fractional)
P 0.000 0.000 0.000
Cu 0.500 0.500 0.500
Li 0.500 0.000 0.000
Li 0.000 0.000 0.500
Li 0.000 0.500 0.000



Q: The highest calculated total energy belongs to which entry?
A: Li3CuP



Repeat the second record exactly.
Below is Li2CuOs at its PBEsol-relaxed geometry, with properties calculated at the SCAN level.

## Properties
- Space-group type: No. 216
- Energy of formation: 0.47 eV per atom
- Size of the total moment: 0.438 μB per atom
- Calculated total energy: -22.495 eV per atom
- DOS(E_F): 4.3 states/eV/f.u.

a b c (Å): 4.135 4.135 4.135
angles (deg): 60.00 60.00 60.00
Each line ends with the local moment (μB).
Element x y z (fractional)
Li 0.000 0.000 0.000  0.01
Li 0.250 0.250 0.250  -0.02
Cu 0.500 0.500 0.500  0.27
Os 0.750 0.750 0.750  1.35